First-principles (PBE) data for a relaxed Ac2UCrN5 crystal, as listed in the Alexandria database.

Output
**Raw formation energy**: -9.9 eV per formula unit
**Fermi-level density of states**: 3.452 states/eV/f.u.
**Volume**: 15.72 Å³ per atom

Lattice parameters (Å, degrees): 3.5645 7.5442 10.8297 90.00 90.00 103.66
With the nearest neighbours (Å) after each atom.
Atoms (fractional coordinates):
N  0.5017  0.0035  0.2935  1 Cr 1.73
N  0.3248  0.6496  0.3917  1 Cr 2.00
N  0.7029  0.4058  0.1507  2 U 2.26
N  0.4983  0.9965  0.7935  1 Cr 1.73
N  0.9690  0.9380  0.5026  2 Cr 1.91
N  0.3331  0.6663  0.0080  1 U 2.08
N  0.0310  0.0620  0.0026  2 Cr 1.91
N  0.6669  0.3337  0.5080  1 U 2.08
N  0.2971  0.5942  0.6507  2 U 2.26
N  0.6752  0.3504  0.8917  1 Cr 2.00
Cr  0.4560  0.9120  0.4407  3 N 1.73-1.91
Cr  0.5440  0.0880  0.9407  3 N 1.73-1.91
Ac  0.1350  0.2700  0.3316  7 N 2.65-2.86
Ac  0.1137  0.2275  0.6824  8 N 2.71-3.02
Ac  0.8650  0.7300  0.8316  7 N 2.65-2.86
Ac  0.8863  0.7725  0.1824  8 N 2.71-3.02
U  0.8084  0.6168  0.5228  5 N 2.08-2.29
U  0.1916  0.3832  0.0228  5 N 2.08-2.29